VASP calculation (PBE) on a geometry-optimized InAsAu2 structure.

Cell lengths 4.232, 4.232, 6.170 Å; angles 69.95, 69.95, 60.00 degrees
Fractional coordinates of all 4 atoms:
Au  0.076  0.076  0.771
Au  0.256  0.256  0.233
As  0.672  0.672  0.985
In  0.496  0.496  0.511

Output
Energy of formation from the pure elements: -0.003 eV/atom
N(E_F): 1.1 states/eV/f.u.

VASP calculation (PBE) on a geometry-optimized MgFeTc2 structure.

Cell lengths 7.075, 7.075, 5.595 Å; angles 50.78, 50.78, 90.00 degrees
Fractional coordinates of all 8 atoms:
Tc  0.685  0.125  0.250
Tc  0.375  0.315  0.750
Tc  0.875  0.935  0.750
Tc  0.065  0.625  0.250
Fe  0.000  0.000  0.000
Fe  0.750  0.250  0.500
Mg  0.250  0.750  0.500
Mg  0.500  0.500  0.000

Output
Energy of formation from the pure elements: 0.582 eV/atom
N(E_F): 3.9 states/eV/f.u.

VASP calculation (PBE) on a geometry-optimized Fe2TcPd structure.

Cell lengths 3.002, 3.002, 6.028 Å; angles 90.00, 90.00, 90.00 degrees
Fractional coordinates of all 4 atoms:
Pd  0.500  0.500  0.000
Fe  0.000  0.000  0.739
Fe  0.000  0.000  0.261
Tc  0.500  0.500  0.500

Output
Energy of formation from the pure elements: 0.134 eV/atom
N(E_F): 5.7 states/eV/f.u.

VASP calculation (PBE) on a geometry-optimized La2ReTe structure.

Cell lengths 3.665, 3.665, 8.266 Å; angles 90.00, 90.00, 99.07 degrees
Fractional coordinates of all 4 atoms:
La  0.000  0.000  0.465
La  0.000  0.000  0.035
Te  0.500  0.500  0.750
Re  0.500  0.500  0.250

Output
ΔE_f (raw): -0.31 eV/atom
N(E_F): 3.8 states/eV/f.u.

VASP calculation (PBE) on a geometry-optimized La6ErIn5 structure.

Cell lengths 5.142, 9.298, 9.416 Å; angles 119.59, 105.84, 90.00 degrees
Fractional coordinates of all 12 atoms:
In  0.348  0.848  0.695
In  0.652  0.152  0.305
In  0.669  0.669  0.338
In  0.000  0.500  0.000
In  0.331  0.331  0.662
La  0.828  0.087  0.655
La  0.500  0.737  0.000
La  0.500  0.263  0.000
La  0.828  0.568  0.655
La  0.172  0.432  0.345
La  0.172  0.913  0.345
Er  0.000  0.000  0.000

Output
Energy of formation from the pure elements: -0.408 eV/atom
N(E_F): 12.7 states/eV/f.u.

VASP calculation (PBE) on a geometry-optimized Mg3Sb5Au12 structure.

Cell lengths 13.771, 13.771, 13.771 Å; angles 109.47, 109.47, 109.47 degrees
Fractional coordinates of all 80 atoms:
Au  0.920  0.081  0.649
Au  0.920  0.839  0.770
Au  0.919  0.839  0.569
Au  0.351  0.419  0.080
Au  0.080  0.161  0.230
Au  0.580  0.851  0.419
Au  0.649  0.069  0.230
Au  0.661  0.431  0.581
Au  0.230  0.569  0.649
Au  0.569  0.230  0.149
Au  0.431  0.661  0.081
Au  0.080  0.919  0.351
Au  0.419  0.069  0.339
Au  0.351  0.931  0.770
Au  0.339  0.569  0.419
Au  0.770  0.339  0.920
Au  0.230  0.661  0.080
Au  0.581  0.649  0.420
Au  0.161  0.081  0.931
Au  0.730  0.580  0.161
Au  0.069  0.649  0.730
Au  0.770  0.431  0.351
Au  0.580  0.730  0.661
Au  0.149  0.420  0.081
Au  0.270  0.420  0.839
Au  0.581  0.931  0.661
Au  0.919  0.080  0.851
Au  0.649  0.581  0.920
Au  0.339  0.770  0.420
Au  0.420  0.270  0.339
Au  0.931  0.581  0.161
Au  0.931  0.351  0.270
Au  0.730  0.149  0.069
Au  0.069  0.419  0.839
Au  0.081  0.920  0.149
Au  0.149  0.730  0.569
Au  0.420  0.149  0.581
Au  0.161  0.080  0.730
Au  0.569  0.339  0.919
Au  0.851  0.270  0.431
Au  0.839  0.919  0.069
Au  0.851  0.580  0.919
Au  0.839  0.920  0.270
Au  0.419  0.351  0.580
Au  0.081  0.161  0.431
Au  0.270  0.851  0.931
Au  0.661  0.230  0.580
Au  0.431  0.770  0.851
Sb  0.625  0.875  0.250
Sb  0.375  0.125  0.750
Sb  0.625  0.750  0.875
Sb  0.500  0.000  0.000
Sb  0.875  0.625  0.750
Sb  0.375  0.250  0.125
Sb  0.125  0.750  0.375
Sb  0.750  0.125  0.875
Sb  0.500  0.500  0.500
Sb  0.250  0.875  0.125
Sb  0.500  0.000  0.500
Sb  0.250  0.375  0.625
Sb  0.000  0.000  0.000
Sb  0.125  0.375  0.250
Sb  0.500  0.500  0.000
Sb  0.000  0.500  0.500
Sb  0.875  0.250  0.625
Sb  0.000  0.000  0.500
Sb  0.000  0.500  0.000
Sb  0.750  0.625  0.375
Mg  0.125  0.250  0.875
Mg  0.125  0.875  0.750
Mg  0.875  0.750  0.125
Mg  0.625  0.250  0.375
Mg  0.375  0.625  0.250
Mg  0.750  0.875  0.625
Mg  0.625  0.375  0.750
Mg  0.250  0.625  0.875
Mg  0.375  0.750  0.625
Mg  0.250  0.125  0.375
Mg  0.875  0.125  0.250
Mg  0.750  0.375  0.125

Output
ΔE_f (raw): -0.07 eV/atom
N(E_F): 6.3 states/eV/f.u.

VASP calculation (PBE) on a geometry-optimized Nb2MoW5 structure.

Cell lengths 4.538, 5.480, 10.753 Å; angles 90.00, 90.00, 90.00 degrees
Fractional coordinates of all 16 atoms:
W  0.000  0.840  0.748
W  0.500  0.339  0.381
W  0.000  0.500  0.500
W  0.000  0.160  0.252
W  0.500  0.161  0.881
W  0.500  0.661  0.619
W  0.500  0.839  0.119
W  0.000  0.000  0.000
W  0.000  0.660  0.248
W  0.000  0.340  0.752
Nb  0.500  0.662  0.878
Nb  0.500  0.338  0.122
Nb  0.500  0.838  0.378
Nb  0.500  0.162  0.622
Mo  0.000  0.500  0.000
Mo  0.000  0.000  0.500

Output
E above lowest polymorph: 0.00 eV/f.u.
Energy of formation from the pure elements: 0.083 eV/atom
N(E_F): 5.3 states/eV/f.u.

VASP calculation (PBE) on a geometry-optimized Ba3BiC structure.

Cell lengths 5.692, 5.692, 5.692 Å; angles 90.00, 90.00, 90.00 degrees
Fractional coordinates of all 5 atoms:
Bi  0.500  0.500  0.500
Ba  0.500  0.000  0.000
Ba  0.000  0.500  0.000
Ba  0.000  0.000  0.500
C  0.000  0.000  0.000

Output
E above lowest polymorph: 0.00 eV/f.u.
Energy of formation from the pure elements: -0.109 eV/atom
N(E_F): 3.8 states/eV/f.u.

VASP calculation (PBE) on a geometry-optimized CdSi2Os structure.

Cell lengths 4.265, 3.297, 4.832 Å; angles 90.04, 90.00, 90.00 degrees
Fractional coordinates of all 4 atoms:
Si  0.000  0.750  0.999
Si  0.000  0.750  0.501
Cd  0.500  0.250  0.250
Os  0.500  0.750  0.750

Output
ΔE_f (raw): 0.30 eV/atom
N(E_F): 1.7 states/eV/f.u.

VASP calculation (PBE) on a geometry-optimized Sc2ZnCd8 structure.

Cell lengths 4.500, 4.500, 11.866 Å; angles 90.00, 90.00, 90.00 degrees
Fractional coordinates of all 11 atoms:
Cd  0.500  0.000  0.500
Cd  0.500  0.000  0.133
Cd  0.000  0.500  0.867
Cd  0.000  0.500  0.133
Cd  0.500  0.500  0.687
Cd  0.000  0.500  0.500
Cd  0.500  0.000  0.867
Cd  0.500  0.500  0.313
Sc  0.000  0.000  0.311
Sc  0.000  0.000  0.689
Zn  0.000  0.000  0.000

Output
Energy of formation from the pure elements: -0.149 eV/atom
N(E_F): 8.6 states/eV/f.u.

VASP calculation (PBE) on a geometry-optimized Tc2HgBr8 structure.

Cell lengths 6.940, 9.086, 9.144 Å; angles 119.08, 90.42, 90.13 degrees
Fractional coordinates of all 11 atoms:
Br  0.717  0.303  0.696
Br  0.288  0.181  0.817
Br  0.751  0.776  0.604
Br  0.249  0.224  0.396
Br  0.283  0.697  0.304
Br  0.712  0.819  0.183
Br  0.249  0.606  0.781
Br  0.751  0.394  0.219
Tc  0.622  0.670  0.328
Tc  0.378  0.330  0.672
Hg  0.000  0.000  0.000

Output
ΔE_f (raw): -0.16 eV/atom
N(E_F): 0.6 states/eV/f.u.

VASP calculation (PBE) on a geometry-optimized Ba2AcTcO6 structure.

Cell lengths 6.327, 6.327, 11.098 Å; angles 73.44, 73.44, 60.00 degrees
Fractional coordinates of all 20 atoms:
O  0.619  0.151  0.612
O  0.151  0.619  0.612
O  0.619  0.619  0.612
O  0.849  0.381  0.388
O  0.246  0.822  0.110
O  0.178  0.178  0.890
O  0.754  0.178  0.890
O  0.381  0.381  0.388
O  0.381  0.849  0.388
O  0.178  0.754  0.890
O  0.822  0.822  0.110
O  0.822  0.246  0.110
Ba  0.265  0.265  0.206
Ba  0.139  0.139  0.584
Ba  0.735  0.735  0.794
Ba  0.861  0.861  0.416
Tc  0.500  0.500  0.500
Tc  0.000  0.000  0.000
Ac  0.402  0.402  0.794
Ac  0.598  0.598  0.206

Output
ΔE_f (raw): -2.30 eV/atom
N(E_F): 4.4 states/eV/f.u.

VASP calculation (PBE) on a geometry-optimized Ba2ZnHg4Sb2 structure.

Cell lengths 7.386, 7.386, 7.386 Å; angles 87.22, 121.62, 121.62 degrees
Fractional coordinates of all 9 atoms:
Ba  0.500  0.750  0.250
Ba  0.500  0.250  0.750
Hg  0.000  0.719  0.281
Hg  0.439  0.719  0.719
Hg  0.561  0.281  0.281
Hg  0.000  0.281  0.719
Zn  0.000  0.000  0.000
Sb  0.000  0.253  0.253
Sb  0.000  0.747  0.747

Output
ΔE_f (raw): -0.43 eV/atom
N(E_F): 4.9 states/eV/f.u.

VASP calculation (PBE) on a geometry-optimized K2Hg structure.

Cell lengths 5.438, 9.234, 11.091 Å; angles 90.00, 90.00, 90.00 degrees
Fractional coordinates of all 12 atoms:
K  0.750  0.353  0.068
K  0.750  0.971  0.830
K  0.250  0.147  0.568
K  0.750  0.471  0.670
K  0.250  0.029  0.170
K  0.250  0.647  0.932
K  0.250  0.529  0.330
K  0.750  0.853  0.432
Hg  0.750  0.244  0.374
Hg  0.250  0.756  0.626
Hg  0.250  0.256  0.874
Hg  0.750  0.744  0.126

Output
E above lowest polymorph: 0.00 eV/f.u.
Energy of formation from the pure elements: -0.169 eV/atom
N(E_F): 1.2 states/eV/f.u.

VASP calculation (PBE) on a geometry-optimized CrHCl3 structure.

Cell lengths 4.741, 4.741, 4.741 Å; angles 90.00, 90.00, 90.00 degrees
Fractional coordinates of all 5 atoms:
H  0.500  0.500  0.500
Cl  0.000  0.000  0.500
Cl  0.500  0.000  0.000
Cl  0.000  0.500  0.000
Cr  0.000  0.000  0.000

Output
E above lowest polymorph: 0.00 eV/f.u.
N(E_F): 5.0 states/eV/f.u.

VASP calculation (PBE) on a geometry-optimized AcCd2IO6 structure.

Cell lengths 5.956, 5.955, 6.213 Å; angles 61.36, 61.35, 59.99 degrees
Fractional coordinates of all 10 atoms:
O  0.605  0.218  0.245
O  0.389  0.673  0.790
O  0.933  0.604  0.244
O  0.218  0.933  0.245
O  0.673  0.149  0.790
O  0.149  0.389  0.790
Cd  0.546  0.546  0.362
Cd  0.019  0.019  0.944
Ac  0.808  0.808  0.577
I  0.323  0.323  0.030

Output
ΔE_f (raw): -1.36 eV/atom
N(E_F): 0.0 states/eV/f.u.

VASP calculation (PBE) on a geometry-optimized MnTc2Rh structure.

Cell lengths 4.649, 4.649, 4.717 Å; angles 81.01, 81.01, 33.51 degrees
Fractional coordinates of all 4 atoms:
Tc  0.998  0.998  0.001
Tc  0.754  0.754  0.747
Rh  0.250  0.250  0.252
Mn  0.498  0.498  0.501

Output
E above lowest polymorph: 0.15 eV/f.u.
Energy of formation from the pure elements: 0.011 eV/atom
N(E_F): 3.9 states/eV/f.u.

VASP calculation (PBE) on a geometry-optimized Ge3IrSe structure.

Cell lengths 4.845, 4.845, 4.845 Å; angles 90.00, 90.00, 90.00 degrees
Fractional coordinates of all 5 atoms:
Ir  0.500  0.500  0.500
Ge  0.000  0.500  0.000
Ge  0.000  0.000  0.500
Ge  0.500  0.000  0.000
Se  0.000  0.000  0.000

Output
E above lowest polymorph: 6.06 eV/f.u.
ΔE_f (raw): 1.31 eV/atom
N(E_F): 4.4 states/eV/f.u.

VASP calculation (PBE) on a geometry-optimized Tb2DyPt2 structure.

Cell lengths 4.021, 6.011, 6.011 Å; angles 68.10, 70.46, 70.46 degrees
Fractional coordinates of all 5 atoms:
Pt  0.500  0.291  0.709
Pt  0.500  0.709  0.291
Tb  0.192  0.308  0.308
Tb  0.808  0.692  0.692
Dy  0.000  0.000  0.000

Output
E above lowest polymorph: 0.40 eV/f.u.
Energy of formation from the pure elements: -0.978 eV/atom
N(E_F): 3.8 states/eV/f.u.

VASP calculation (PBE) on a geometry-optimized FeHgMo3 structure.

Cell lengths 4.489, 4.489, 4.489 Å; angles 90.00, 90.00, 90.00 degrees
Fractional coordinates of all 5 atoms:
Mo  0.000  0.000  0.500
Mo  0.500  0.000  0.000
Mo  0.000  0.500  0.000
Fe  0.000  0.000  0.000
Hg  0.500  0.500  0.500

Output
E above lowest polymorph: 0.00 eV/f.u.
Energy of formation from the pure elements: 1.087 eV/atom
N(E_F): 4.6 states/eV/f.u.

VASP calculation (PBE) on a geometry-optimized Zr2FeP structure.

Cell lengths 3.394, 3.394, 5.908 Å; angles 90.00, 90.00, 90.00 degrees
Fractional coordinates of all 4 atoms:
Zr  0.000  0.000  0.997
Zr  0.000  0.000  0.503
P  0.500  0.500  0.750
Fe  0.500  0.500  0.250

Output
Energy of formation from the pure elements: -0.537 eV/atom
N(E_F): 3.6 states/eV/f.u.

| no. | magnetization (μB per cell) | V (Å³ per cell) |
| --- | --- | --- |
| 1 | 0.0 | 87.9 |
| 2 | 0.0 | 125.4 |
| 3 | 5.7 | 54.3 |
| 4 | 0.0 | 109.6 |
| 5 | 0.0 | 371.7 |
| 6 | 0.0 | 2010.4 |
| 7 | 0.0 | 267.5 |
| 8 | 0.0 | 184.4 |
| 9 | 0.0 | 68.0 |
| 10 | 0.0 | 240.3 |
| 11 | 6.1 | 503.9 |
| 12 | 4.0 | 363.3 |
| 13 | 0.0 | 277.6 |
| 14 | 0.0 | 557.0 |
| 15 | 4.0 | 106.6 |
| 16 | 0.0 | 158.9 |
| 17 | 1.8 | 55.5 |
| 18 | 0.0 | 113.7 |
| 19 | 0.0 | 123.3 |
| 20 | 0.0 | 90.5 |
| 21 | 1.8 | 68.0 |